No. 1
Compound: Zr2CoNi
Source: Alexandria
Functional: PBE
Structure: relaxed

- calculated total energy (eV per atom) = -7.62
- E above lowest polymorph (eV/atom) = 0.2727
- ΔE_f (eV/atom) = -0.13

Cell: 3.374 3.374 5.925 Å, 90.00 90.00 90.00°
Element x y z (fractional)
Zr: 0.000 0.000 0.945
Zr: 0.500 0.500 0.306
Co: 0.000 0.000 0.493
Ni: 0.500 0.500 0.756


No. 2
Compound: Zr2CoNi3
Source: Alexandria
Functional: PBE
Structure: relaxed

- calculated total energy (eV per atom) = -6.96
- ΔE_f (eV/atom) = -0.03

Cell: 4.446 4.979 5.322 Å, 117.89 114.69 90.00°
Site moments in Bohr magnetons follow the coordinates.
Element x y z (fractional)
Ni: 0.364 0.364 0.728  0.01
Ni: 0.636 0.636 0.272  0.01
Ni: 0.000 0.000 0.000  0.04
Zr: 0.305 0.805 0.609  -0.07
Zr: 0.695 0.195 0.391  -0.07
Co: 0.000 0.500 0.000  0.92


No. 3
Compound: ZrCo2Ni2
Source: Alexandria
Functional: PBE
Structure: relaxed

- calculated total energy (eV per atom) = -6.93
- E above lowest polymorph (eV/atom) = 0.0262
- ΔE_f (eV/atom) = -0.06

Cell: 3.590 3.590 10.848 Å, 99.52 99.52 90.00°
Site moments in Bohr magnetons follow the coordinates.
Element x y z (fractional)
Ni: 0.000 0.500 0.000  0.44
Ni: 0.177 0.177 0.355  0.50
Ni: 0.823 0.823 0.645  0.50
Ni: 0.500 0.000 0.000  0.44
Zr: 0.618 0.618 0.236  -0.18
Zr: 0.382 0.382 0.764  -0.18
Co: 0.928 0.928 0.856  0.81
Co: 0.072 0.072 0.144  0.81
Co: 0.250 0.750 0.500  1.59
Co: 0.750 0.250 0.500  1.59


No. 4
Compound: Zr2CoNi
Source: Alexandria
Functional: PBE
Structure: relaxed

- calculated total energy (eV per atom) = -7.53
- E above lowest polymorph (eV/atom) = 0.3656
- ΔE_f (eV/atom) = -0.04

Cell: 4.453 4.453 4.453 Å, 60.00 60.00 60.00°
Element x y z (fractional)
Zr: 0.750 0.750 0.750
Zr: 0.000 0.000 0.000
Co: 0.500 0.500 0.500
Ni: 0.250 0.250 0.250


No. 5
Compound: Zr4CoNi3
Source: Alexandria
Functional: PBE
Structure: relaxed

- calculated total energy (eV per atom) = -7.76
- ΔE_f (eV/atom) = -0.43

Cell: 3.321 4.061 9.950 Å, 90.00 90.00 90.00°
Element x y z (fractional)
Ni: 0.500 0.000 0.915
Ni: 0.000 0.500 0.583
Ni: 0.000 0.000 0.418
Zr: 0.500 0.500 0.356
Zr: 0.500 0.000 0.640
Zr: 0.000 0.000 0.139
Zr: 0.000 0.500 0.864
Co: 0.500 0.500 0.086


No. 6
Compound: ZrCo3Ni
Source: Alexandria
Functional: PBE
Structure: relaxed

- calculated total energy (eV per atom) = -6.46
- E above lowest polymorph (eV/atom) = 0.0000
- ΔE_f (eV/atom) = 0.67

Cell: 4.263 4.263 4.263 Å, 90.00 90.00 90.00°
Site moments in Bohr magnetons follow the coordinates.
Element x y z (fractional)
Co: 0.500 0.000 0.000  1.31
Co: 0.000 0.000 0.500  1.90
Co: 0.000 0.500 0.000  1.59
Zr: 0.500 0.500 0.500  -0.32
Ni: 0.000 0.000 0.000  0.94


No. 7
Compound: Zr2Co3Ni4
Source: Alexandria
Functional: PBE
Structure: relaxed

- calculated total energy (eV per atom) = -7.19
- ΔE_f (eV/atom) = -0.35

Cell: 4.634 4.758 6.528 Å, 80.05 69.21 60.86°
Site moments in Bohr magnetons follow the coordinates.
Element x y z (fractional)
Ni: 0.995 0.669 0.341  0.16
Ni: 0.664 0.331 0.341  0.16
Ni: 0.005 0.331 0.659  0.16
Ni: 0.336 0.669 0.659  0.16
Zr: 0.635 0.000 0.729  -0.14
Zr: 0.365 0.000 0.271  -0.14
Co: 0.000 0.500 0.000  1.21
Co: 0.500 0.500 0.000  1.21
Co: 0.000 0.000 0.000  0.98


No. 8
Compound: Zr2Co3Ni
Source: Alexandria
Functional: PBE
Structure: relaxed

- calculated total energy (eV per atom) = -7.70
- ΔE_f (eV/atom) = -0.33

Cell: 4.908 4.908 4.895 Å, 89.97 120.13 120.00°
Site moments in Bohr magnetons follow the coordinates.
Element x y z (fractional)
Zr: 0.248 0.624 0.872  -0.13
Zr: 0.752 0.376 0.128  -0.13
Co: 0.000 0.000 0.500  0.50
Co: 0.500 0.500 0.500  0.50
Co: 0.500 0.000 0.500  0.50
Ni: 0.000 0.000 0.000  0.10